[1]
Compound: Ba2TiOsAu
Source: Alexandria via LeMat-Bulk
Functional: PBE
Structure: relaxed

Cell: 6.042 4.825 6.042 Å, 90.00 90.00 90.00°
Last column: magnetic moment on the atom in μB.
Fractional positions:
Ba (0.000, 0.000, 0.500)  0.10
Os (0.500, 0.500, 0.500)  2.22
Ba (0.500, 0.000, 0.000)  0.03
Ti (0.000, 0.000, 0.000)  1.41
Au (0.000, 0.500, 0.000)  0.04

## Properties
As for the crystal system: tetragonal.

[2]
Compound: BaOsW2Au
Source: Alexandria via LeMat-Bulk
Functional: PBE
Structure: relaxed

Cell: 5.004 4.921 5.004 Å, 90.00 90.00 90.00°
Last column: magnetic moment on the atom in μB.
Fractional positions:
W (0.500, 0.000, 0.000)  0.39
Os (0.000, 0.500, 0.000)  0.58
Ba (0.000, 0.000, 0.000)  0.00
Au (0.500, 0.500, 0.500)  0.03
W (0.000, 0.000, 0.500)  0.35

## Properties
As for the crystal system: tetragonal.

[3]
Compound: BaPAu2
Source: Alexandria via LeMat-Bulk
Functional: PBE
Structure: relaxed

Cell: 4.560 4.560 6.231 Å, 68.61 68.61 59.79°
Fractional positions:
Au (0.542, 0.542, 0.374)
P (0.250, 0.250, 0.250)
Au (0.958, 0.958, 0.126)
Ba (0.750, 0.750, 0.750)

## Properties
As for the crystal system: monoclinic.

[4]
Compound: Ba3PAu
Source: Alexandria via LeMat-Bulk
Functional: PBE
Structure: relaxed

Cell: 6.169 6.169 6.169 Å, 90.00 90.00 90.00°
Fractional positions:
Ba (0.000, 0.500, 0.000)
Au (0.500, 0.500, 0.500)
Ba (0.000, 0.000, 0.500)
P (0.000, 0.000, 0.000)
Ba (0.500, 0.000, 0.000)

## Properties
The value obtained for the distance to the lowest polymorph of the same formula is 251 meV/atom. As for the crystal system: cubic.

[5]
Compound: Ba2PAu3
Source: Alexandria via LeMat-Bulk
Functional: PBE
Structure: relaxed

Cell: 4.525 4.565 8.155 Å, 90.00 90.00 90.00°
Fractional positions:
Ba (0.000, 0.000, 0.497)
Au (0.500, 0.500, 0.638)
Au (0.500, 0.000, 0.192)
P (0.500, 0.500, 0.323)
Au (0.500, 0.000, 0.842)
Ba (0.000, 0.500, 0.007)

## Properties
As for the crystal system: orthorhombic.

[6]
Compound: Ba6PAu
Source: Alexandria via LeMat-Bulk
Functional: PBE
Structure: relaxed

Cell: 8.013 8.013 15.313 Å, 90.00 90.00 120.00°
Fractional positions:
Au (0.667, 0.333, 0.750)
Ba (0.997, 0.321, 0.622)
Ba (0.321, 0.324, 0.378)
Ba (0.324, 0.003, 0.622)
Ba (0.679, 0.676, 0.622)
P (0.000, 0.000, 0.500)
Ba (0.003, 0.324, 0.122)
Ba (0.324, 0.321, 0.878)
Ba (0.997, 0.676, 0.878)
Ba (0.676, 0.997, 0.378)
Ba (0.003, 0.679, 0.378)
Ba (0.676, 0.679, 0.122)
Ba (0.321, 0.997, 0.122)
Au (0.333, 0.667, 0.250)
P (0.000, 0.000, 0.000)
Ba (0.679, 0.003, 0.878)

## Properties
As for the crystal system: trigonal.

[7]
Compound: Ba3PAu
Source: Alexandria via LeMat-Bulk
Functional: PBE
Structure: relaxed

Cell: 4.694 8.309 11.572 Å, 88.95 90.00 90.00°
Fractional positions:
Ba (0.250, 0.605, 0.324)
Ba (0.750, 0.075, 0.313)
Ba (0.250, 0.228, 0.994)
Ba (0.750, 0.395, 0.676)
P (0.250, 0.919, 0.173)
Ba (0.250, 0.925, 0.687)
Au (0.750, 0.422, 0.170)
Ba (0.750, 0.772, 0.006)
P (0.750, 0.081, 0.827)
Au (0.250, 0.578, 0.830)

## Properties
The value obtained for the distance to the lowest polymorph of the same formula is 0 meV/atom. As for the crystal system: monoclinic.

[8]
Compound: BaPAu2
Source: Alexandria via LeMat-Bulk
Functional: PBE
Structure: relaxed

Cell: 3.803 3.805 6.762 Å, 90.00 90.00 90.00°
Fractional positions:
P (0.500, 0.500, 0.750)
Au (0.000, 0.000, 0.550)
Ba (0.500, 0.500, 0.250)
Au (0.000, 0.000, 0.950)

## Properties
As for the crystal system: tetragonal.

[9]
Compound: BaPAu2
Source: Alexandria via LeMat-Bulk
Functional: PBE
Structure: relaxed

Cell: 5.661 5.661 5.661 Å, 138.11 117.28 78.30°
Fractional positions:
Au (0.570, 0.570, 0.000)
P (0.750, 0.250, 0.500)
Au (0.930, 0.930, 0.000)
Ba (0.250, 0.750, 0.500)

## Properties
As for the crystal system: orthorhombic.

[10]
Compound: BaP12Au4
Source: Alexandria via LeMat-Bulk
Functional: PBE
Structure: relaxed

Cell: 7.300 7.301 7.300 Å, 105.31 105.32 105.31°
Fractional positions:
P (0.612, 0.735, 0.095)
P (0.095, 0.612, 0.735)
P (0.388, 0.265, 0.905)
Au (0.500, 0.500, 0.500)
P (0.142, 0.367, 0.514)
Au (0.500, 0.000, 0.000)
P (0.633, 0.486, 0.858)
P (0.265, 0.905, 0.388)
Au (0.000, 0.000, 0.500)
Au (0.000, 0.500, 0.000)
P (0.486, 0.858, 0.633)
P (0.514, 0.142, 0.367)
P (0.367, 0.514, 0.142)
P (0.735, 0.095, 0.612)
Ba (0.000, 0.000, 0.000)
P (0.905, 0.388, 0.265)
P (0.858, 0.633, 0.486)

## Properties
As for the crystal system: trigonal.

[11]
Compound: Ba7PAu3
Source: Alexandria via LeMat-Bulk
Functional: PBE
Structure: relaxed

Cell: 7.904 7.904 9.355 Å, 65.64 65.64 89.56°
Fractional positions:
Ba (0.826, 0.826, 0.802)
Ba (0.133, 0.133, 0.184)
Au (0.229, 0.798, 0.483)
Ba (0.179, 0.615, 0.214)
P (0.939, 0.939, 0.048)
Ba (0.615, 0.179, 0.214)
Ba (0.346, 0.953, 0.733)
Au (0.497, 0.497, 0.902)
Au (0.798, 0.229, 0.483)
Ba (0.953, 0.346, 0.733)
Ba (0.610, 0.610, 0.454)

## Properties
As for the crystal system: monoclinic.

[12]
Compound: Ba3P3Au2
Source: Alexandria via LeMat-Bulk
Functional: PBE
Structure: relaxed

Cell: 4.673 6.257 16.391 Å, 90.00 90.00 111.92°
Fractional positions:
Au (0.141, 0.281, 0.385)
Ba (0.151, 0.303, 0.592)
P (0.435, 0.869, 0.950)
P (0.565, 0.131, 0.450)
P (0.739, 0.478, 0.750)
Ba (0.849, 0.697, 0.408)
Au (0.141, 0.281, 0.115)
Ba (0.560, 0.119, 0.250)
P (0.261, 0.522, 0.250)
P (0.565, 0.131, 0.050)
Ba (0.151, 0.303, 0.908)
Ba (0.849, 0.697, 0.092)
Au (0.859, 0.719, 0.615)
Au (0.859, 0.719, 0.885)
P (0.435, 0.869, 0.550)
Ba (0.440, 0.881, 0.750)

## Properties
As for the crystal system: orthorhombic.

[13]
Compound: BaP4Au
Source: Alexandria via LeMat-Bulk
Functional: PBE
Structure: relaxed

Cell: 5.836 5.836 5.836 Å, 60.00 60.00 60.00°
Fractional positions:
P (0.403, 0.403, 0.403)
P (0.403, 0.791, 0.403)
Au (0.750, 0.750, 0.750)
Ba (0.000, 0.000, 0.000)
P (0.403, 0.403, 0.791)
P (0.791, 0.403, 0.403)

## Properties
As for the crystal system: cubic.

[14]
Compound: BaPAu2
Source: Alexandria via LeMat-Bulk
Functional: PBE
Structure: relaxed

Cell: 4.364 4.732 5.348 Å, 89.83 90.00 90.00°
Fractional positions:
P (0.500, 0.750, 0.750)
Ba (0.500, 0.250, 0.250)
Au (0.000, 0.750, 0.498)
Au (0.000, 0.750, 0.002)

## Properties
As for the crystal system: monoclinic.

[15]
Compound: BaP3Au
Source: Alexandria via LeMat-Bulk
Functional: PBE
Structure: relaxed

Cell: 4.992 4.992 4.992 Å, 90.00 90.00 90.00°
Fractional positions:
P (0.000, 0.500, 0.000)
P (0.500, 0.000, 0.000)
Au (0.000, 0.000, 0.000)
Ba (0.500, 0.500, 0.500)
P (0.000, 0.000, 0.500)

## Properties
The value obtained for the distance to the lowest polymorph of the same formula is 0 meV/atom. As for the crystal system: cubic.

[16]
Compound: Ba4PAu
Source: Alexandria via LeMat-Bulk
Functional: PBE
Structure: relaxed

Cell: 6.944 6.944 6.944 Å, 60.00 60.00 60.00°
Fractional positions:
Ba (0.376, 0.376, 0.872)
Ba (0.872, 0.376, 0.376)
Au (0.000, 0.000, 0.000)
P (0.750, 0.750, 0.750)
Ba (0.376, 0.872, 0.376)
Ba (0.376, 0.376, 0.376)

## Properties
The value obtained for the distance to the lowest polymorph of the same formula is 969 meV/atom. As for the crystal system: cubic.

[17]
Compound: BaPAu2
Source: Alexandria via LeMat-Bulk
Functional: PBE
Structure: relaxed

Cell: 5.727 5.727 5.727 Å, 133.00 133.00 68.65°
Fractional positions:
Au (0.500, 0.500, 0.000)
Ba (0.250, 0.750, 0.500)
P (0.750, 0.250, 0.500)
Au (0.000, 0.000, 0.000)

## Properties
As for the crystal system: tetragonal.

[18]
Compound: Ba8P5Au
Source: Alexandria via LeMat-Bulk
Functional: PBE
Structure: relaxed

Cell: 8.578 8.578 8.578 Å, 109.16 110.10 109.16°
Fractional positions:
Ba (0.741, 0.247, 0.372)
Ba (0.506, 0.631, 0.259)
Ba (0.643, 0.908, 0.890)
P (0.006, 0.375, 0.117)
P (0.369, 0.111, 0.994)
P (0.883, 0.889, 0.258)
Au (0.250, 0.500, 0.750)
P (0.500, 0.000, 0.500)
Ba (0.266, 0.248, 0.357)
Ba (0.110, 0.752, 0.018)
Ba (0.126, 0.753, 0.494)
Ba (0.982, 0.092, 0.734)
P (0.742, 0.625, 0.631)
Ba (0.628, 0.369, 0.874)

## Properties
As for the crystal system: tetragonal.

[19]
Compound: BaP3Au
Source: Alexandria via LeMat-Bulk
Functional: PBE
Structure: relaxed

Cell: 5.662 5.662 5.662 Å, 90.00 90.00 90.00°
Last column: magnetic moment on the atom in μB.
Fractional positions:
Au (0.500, 0.500, 0.500)  0.04
P (0.500, 0.000, 0.000)  0.17
Ba (0.000, 0.000, 0.000)  0.00
P (0.000, 0.000, 0.500)  0.28
P (0.000, 0.500, 0.000)  0.25

## Properties
The value obtained for the distance to the lowest polymorph of the same formula is 1581 meV/atom. As for the crystal system: cubic.

[20]
Compound: Ba6PAu5
Source: Alexandria via LeMat-Bulk
Functional: PBE
Structure: relaxed

Cell: 5.661 9.868 9.868 Å, 120.35 106.65 106.65°
Fractional positions:
Au (0.000, 0.667, 0.333)
Ba (0.244, 0.406, 0.082)
Ba (0.756, 0.918, 0.594)
Au (0.000, 0.333, 0.667)
Ba (0.736, 0.236, 0.236)
Ba (0.264, 0.764, 0.764)
Au (0.500, 0.500, 0.500)
Ba (0.756, 0.594, 0.918)
Au (0.500, 0.824, 0.176)
P (0.000, 0.000, 0.000)
Ba (0.244, 0.082, 0.406)
Au (0.500, 0.176, 0.824)

## Properties
As for the crystal system: monoclinic.

Formation enthalpy at 0 K, record by record: 130.43, 368.99, -35.72, -46.39, -73.28, -44.79, -70.62, -0.92, -27.12, -4.30, -52.58, -73.61, -10.84, -48.06, 17.06, 37.06, -8.46, -94.25, 169.63, -70.85 kJ per mole of atoms